Record 1
A plane-wave DFT calculation with PBE was carried out for a relaxed SrFeNi2 crystal.

Structure (POSCAR):
```
SrFeNi2
1.0
4.194 -1.786 -0.380
2.260 -1.349 3.742
0.668 -4.457 0.787
Fe Ni Sr
1 2 1
direct
0.000 0.000 0.000
0.250 0.250 0.250
0.750 0.750 0.750
0.500 0.500 0.500
```

Record 2
A plane-wave DFT calculation with PBE was carried out for a relaxed SrFeNi2 crystal.

Structure (POSCAR):
```
SrFeNi2
1.0
4.103 -0.012 -0.005
2.065 3.546 -0.005
2.043 1.171 5.298
Ni Fe Sr
2 1 1
direct
0.688 0.688 0.936
0.994 0.994 0.017
0.316 0.316 0.052
0.502 0.502 0.495
```

Record 3
A plane-wave DFT calculation with PBE was carried out for a relaxed Sr2FeNi crystal.

For the offset from the most stable computed form, the calculation gives 2.869 kcal/mol of atoms.

Structure (POSCAR):
```
Sr2FeNi
1.0
-2.695 0.513 -2.107
0.888 -2.805 -1.819
-5.077 -5.023 5.270
Fe Ni Sr
1 1 2
direct
0.000 0.000 0.593
0.500 0.500 0.658
0.000 0.000 0.921
0.500 0.500 0.328
```

Record 4
A plane-wave DFT calculation with PBE was carried out for a relaxed Sr2FeNi crystal.

For the offset from the most stable computed form, the calculation gives 12.295 kcal/mol of atoms.

Structure (POSCAR):
```
Sr2FeNi
1.0
-2.094 6.184 4.923
-6.392 1.672 -4.818
-6.053 1.950 1.768
Fe Sr Ni
2 4 2
direct
0.250 0.750 0.500
0.500 0.500 0.000
0.092 0.625 0.250
0.658 0.125 0.250
0.875 0.908 0.750
0.375 0.342 0.750
0.000 0.000 0.000
0.750 0.250 0.500
```

Record 5
A plane-wave DFT calculation with PBE was carried out for a relaxed SrFeNi crystal.

For the offset from the most stable computed form, the calculation gives 10.395 kcal/mol of atoms.

Structure (POSCAR):
```
SrFeNi
1.0
4.584 0.000 0.000
2.292 3.970 0.000
2.292 1.323 3.743
Sr Fe Ni
1 1 1
direct
0.000 0.000 0.000
0.500 0.500 0.500
0.750 0.750 0.750
```

Record 6
A plane-wave DFT calculation with PBE was carried out for a relaxed SrFeNi crystal.

For the offset from the most stable computed form, the calculation gives 0.000 kcal/mol of atoms.

Structure (POSCAR):
```
SrFeNi
1.0
-0.200 1.782 3.544
2.699 -2.843 -0.644
3.067 3.242 -1.457
Fe Sr Ni
1 1 1
direct
0.000 0.000 0.167
0.333 0.667 0.667
0.667 0.333 0.166
```

Record 7
A plane-wave DFT calculation with PBE was carried out for a relaxed SrFeNi2 crystal.

Structure (POSCAR):
```
SrFeNi2
1.0
-2.510 2.144 -1.941
-2.442 -2.154 0.777
-2.359 2.003 5.262
Ni Sr Fe
2 1 1
direct
0.500 0.096 0.185
0.000 0.209 0.954
0.000 0.461 0.458
0.500 0.734 0.904
```

Record 8
A plane-wave DFT calculation with PBE was carried out for a relaxed Sr2FeNi crystal.

For the offset from the most stable computed form, the calculation gives 1.579 kcal/mol of atoms.

Structure (POSCAR):
```
Sr2FeNi
1.0
-2.964 4.656 -4.420
-3.026 1.221 -6.272
-4.611 -0.172 0.475
Fe Sr Ni
1 2 1
direct
0.579 0.579 0.421
0.754 0.754 0.746
0.996 0.996 0.004
0.171 0.171 0.329
```

Record 9
A plane-wave DFT calculation with PBE was carried out for a relaxed Sr2FeNi crystal.

For the offset from the most stable computed form, the calculation gives 6.465 kcal/mol of atoms.

Structure (POSCAR):
```
Sr2FeNi
1.0
-0.640 -3.494 0.871
3.515 -0.802 -0.635
5.182 0.706 6.638
Sr Ni Fe
2 1 1
direct
0.000 0.483 0.517
0.000 0.017 0.983
0.500 0.750 0.750
0.500 0.250 0.250
```

Record 10
A plane-wave DFT calculation with PBE was carried out for a relaxed SrFeNi2 crystal.

Structure (POSCAR):
```
SrFeNi2
1.0
4.823 -0.024 -0.011
0.267 4.815 0.011
-1.944 -3.033 3.206
Sr Ni Fe
1 2 1
direct
0.750 0.250 0.500
0.068 0.068 0.000
0.432 0.432 0.000
0.250 0.750 0.500
```

Record 11
A plane-wave DFT calculation with PBE was carried out for a relaxed SrFeNi2 crystal.

Structure (POSCAR):
```
SrFeNi2
1.0
4.714 0.000 0.000
0.000 4.714 0.000
2.357 2.357 7.819
Sr Fe Ni
2 2 4
direct
0.000 0.000 0.000
0.750 0.250 0.500
0.500 0.500 0.000
0.250 0.750 0.500
0.375 0.125 0.250
0.875 0.625 0.750
0.375 0.625 0.750
0.375 0.625 0.250
```

Record 12
A plane-wave DFT calculation with PBE was carried out for a relaxed Sr2FeNi crystal.

For the offset from the most stable computed form, the calculation gives 0.000 kcal/mol of atoms.

Structure (POSCAR):
```
Sr2FeNi
1.0
-0.726 3.643 -1.720
-3.446 -1.867 -2.500
-5.449 0.312 2.960
Fe Sr Ni
1 2 1
direct
0.000 0.670 0.534
0.000 0.985 0.904
0.500 0.266 0.343
0.500 0.579 0.719
```

Record 13
A plane-wave DFT calculation with PBE was carried out for a relaxed SrFeNi3 crystal.

For the offset from the most stable computed form, the calculation gives 0.000 kcal/mol of atoms.

Structure (POSCAR):
```
SrFeNi3
1.0
-4.484 0.091 -0.116
-0.135 -3.937 2.148
-0.058 2.151 3.937
Ni Sr Fe
3 1 1
direct
0.500 0.000 0.000
0.000 0.000 0.500
0.000 0.500 0.000
0.500 0.500 0.500
0.000 0.000 0.000
```

Record 14
A plane-wave DFT calculation with PBE was carried out for a relaxed Sr4FeNi crystal.

Structure (POSCAR):
```
Sr4FeNi
1.0
0.000 4.841 4.841
4.841 0.000 4.841
4.841 4.841 0.000
Sr Fe Ni
4 1 1
direct
0.375 0.874 0.375
0.375 0.375 0.375
0.375 0.375 0.874
0.874 0.375 0.375
0.750 0.750 0.750
0.000 0.000 0.000
```

Record 15
A plane-wave DFT calculation with PBE was carried out for a relaxed Sr2FeNi crystal.

For the offset from the most stable computed form, the calculation gives 10.844 kcal/mol of atoms.

Structure (POSCAR):
```
Sr2FeNi
1.0
4.143 -0.059 0.021
2.483 3.317 0.021
1.563 0.768 8.247
Sr Fe Ni
2 1 1
direct
0.010 0.010 0.972
0.490 0.490 0.528
0.250 0.250 0.250
0.750 0.750 0.750
```

Record 16
A plane-wave DFT calculation with PBE was carried out for a relaxed SrFeNi2 crystal.

Structure (POSCAR):
```
SrFeNi2
1.0
-1.232 2.094 1.922
-1.972 0.880 -2.221
-4.591 -4.727 2.204
Ni Sr Fe
2 1 1
direct
0.000 0.000 0.925
0.000 0.000 0.575
0.500 0.500 0.250
0.500 0.500 0.750
```

Record 17
A plane-wave DFT calculation with PBE was carried out for a relaxed SrFeNi2 crystal.

Structure (POSCAR):
```
SrFeNi2
1.0
-2.117 2.819 2.823
-0.725 -1.220 4.288
2.295 2.001 3.336
Ni Fe Sr
2 1 1
direct
0.000 0.000 0.000
0.250 0.250 0.250
0.500 0.500 0.500
0.750 0.750 0.750
```

Record 18
A plane-wave DFT calculation with PBE was carried out for a relaxed SrFeNi2 crystal.

Structure (POSCAR):
```
SrFeNi2
1.0
-1.967 3.341 -3.922
-1.131 -2.103 -4.971
-0.986 0.068 5.426
Fe Ni Sr
1 2 1
direct
0.208 0.708 0.500
0.003 0.003 0.000
0.786 0.286 0.500
0.502 0.502 0.000
```

Record 19
A plane-wave DFT calculation with PBE was carried out for a relaxed SrFe3Ni crystal.

For the offset from the most stable computed form, the calculation gives 41.813 kcal/mol of atoms.

Structure (POSCAR):
```
SrFe3Ni
1.0
-2.995 -3.298 -1.327
3.552 -2.712 -1.277
0.132 -1.837 4.268
Sr Fe Ni
1 3 1
direct
0.000 0.000 0.000
0.000 0.500 0.000
0.000 0.000 0.500
0.500 0.000 0.000
0.500 0.500 0.500
```

Record 20
A plane-wave DFT calculation with PBE was carried out for a relaxed SrFeNi crystal.

For the offset from the most stable computed form, the calculation gives 2.675 kcal/mol of atoms.

Structure (POSCAR):
```
SrFeNi
1.0
-2.277 -5.001 -2.249
0.679 -5.820 -0.959
-1.527 -1.545 2.520
Sr Fe Ni
1 1 1
direct
0.668 0.668 0.332
0.944 0.944 0.056
0.388 0.388 0.612
```

Record 21
A plane-wave DFT calculation with PBE was carried out for a relaxed SrFeNi2 crystal.

Structure (POSCAR):
```
SrFeNi2
1.0
-2.793 -0.048 -3.665
1.268 -4.334 -0.920
-2.311 -1.050 1.779
Ni Fe Sr
2 1 1
direct
0.500 0.500 0.000
0.000 0.000 0.000
0.000 0.500 0.500
0.500 0.000 0.500
```

Record 22
A plane-wave DFT calculation with PBE was carried out for a relaxed SrFeNi2 crystal.

Structure (POSCAR):
```
SrFeNi2
1.0
-1.940 -3.757 -2.964
3.489 -3.186 -2.084
-0.960 1.822 4.735
Ni Fe Sr
2 1 1
direct
0.250 0.750 0.500
0.000 0.000 0.000
0.750 0.250 0.500
0.500 0.500 0.000
```

Record 23
A plane-wave DFT calculation with PBE was carried out for a relaxed SrZnFeNi2 crystal.

Structure (POSCAR):
```
SrZnFeNi2
1.0
4.526 0.000 0.000
0.000 4.676 0.000
0.000 0.000 4.526
Ni Fe Zn Sr
2 1 1 1
direct
0.000 0.000 0.500
0.500 0.000 0.000
0.000 0.000 0.000
0.000 0.500 0.000
0.500 0.500 0.500
```

Record 24
A plane-wave DFT calculation with PBE was carried out for a relaxed TaFeNi crystal.

For the offset from the most stable computed form, the calculation gives 17.333 kcal/mol of atoms.

Structure (POSCAR):
```
TaFeNi
1.0
4.037 0.000 0.000
2.019 3.497 0.000
2.019 1.166 3.297
Fe Ni Ta
1 1 1
direct
0.000 0.000 0.000
0.500 0.500 0.500
0.750 0.750 0.750
```

Record 25
A plane-wave DFT calculation with PBE was carried out for a relaxed TaFeNi crystal.

For the offset from the most stable computed form, the calculation gives 5.096 kcal/mol of atoms.

Structure (POSCAR):
```
TaFeNi
1.0
-0.181 4.189 -0.538
-3.415 -2.376 -0.750
-0.750 0.288 2.501
Ni Fe Ta
1 1 1
direct
0.667 0.333 0.173
0.000 0.000 0.160
0.333 0.667 0.668
```

Record 26
A plane-wave DFT calculation with PBE was carried out for a relaxed TaFe4Ni12 crystal.

Structure (POSCAR):
```
TaFe4Ni12
1.0
6.092 0.000 -2.154
-3.046 5.276 -2.154
0.000 0.000 6.462
Ni Fe Ta
12 4 1
direct
0.690 0.690 0.000
0.690 0.000 0.690
0.000 0.310 0.310
0.250 0.750 0.500
0.500 0.250 0.750
0.750 0.500 0.250
0.310 0.000 0.310
0.250 0.500 0.750
0.750 0.250 0.500
0.500 0.750 0.250
0.310 0.310 0.000
0.000 0.690 0.690
0.500 0.000 0.000
0.000 0.000 0.500
0.500 0.500 0.500
0.000 0.500 0.000
0.000 0.000 0.000
```

Record 27
A plane-wave DFT calculation with PBE was carried out for a relaxed TaFeNi crystal.

For the offset from the most stable computed form, the calculation gives 13.707 kcal/mol of atoms.

Structure (POSCAR):
```
TaFeNi
1.0
4.034 0.000 0.000
2.017 3.493 0.000
2.017 1.164 3.294
Ta Fe Ni
1 1 1
direct
0.000 0.000 0.000
0.500 0.500 0.500
0.750 0.750 0.750
```

Record 28
A plane-wave DFT calculation with PBE was carried out for a relaxed TaFeNi4 crystal.

For the offset from the most stable computed form, the calculation gives 1.516 kcal/mol of atoms.

Structure (POSCAR):
```
TaFeNi4
1.0
3.657 -1.690 0.000
-1.549 6.253 0.000
0.000 0.000 7.183
Ni Ta Fe
8 2 2
direct
0.756 0.007 0.085
0.244 0.493 0.085
0.756 0.007 0.415
0.244 0.993 0.915
0.244 0.993 0.585
0.756 0.507 0.585
0.244 0.493 0.415
0.756 0.507 0.915
0.000 0.750 0.250
0.000 0.250 0.750
0.500 0.750 0.750
0.500 0.250 0.250
```

| no. | energy of formation from the pure elements (eV/f.u.) | M_tot (μB/cell) |
| --- | --- | --- |
| 1 | 2.23 | 3.576 |
| 2 | 0.32 | 3.250 |
| 3 | 1.44 | 3.433 |
| 4 | 3.07 | 4.960 |
| 5 | 2.08 | 3.441 |
| 6 | 0.73 | 2.479 |
| 7 | 1.34 | 3.902 |
| 8 | 1.21 | 2.740 |
| 9 | 2.06 | 2.489 |
| 10 | 1.87 | 3.689 |
| 11 | 1.43 | 7.509 |
| 12 | 0.94 | 2.492 |
| 13 | 2.15 | 4.455 |
| 14 | 7.46 | 1.695 |
| 15 | 2.82 | 2.627 |
| 16 | 1.04 | 3.781 |
| 17 | 2.60 | 2.985 |
| 18 | 2.03 | 3.803 |
| 19 | 12.46 | 8.049 |
| 20 | 1.08 | 3.191 |
| 21 | 2.22 | 3.533 |
| 22 | 2.40 | 3.781 |
| 23 | 1.62 | 3.300 |
| 24 | 1.65 | 0.001 |
| 25 | 0.06 | 2.273 |
| 26 | 2.68 | 16.478 |
| 27 | 1.18 | 2.234 |
| 28 | -0.57 | 4.540 |